# NbVFe

A geometry-optimized NbVFe structure (GGA-PBE, Alexandria via LeMat-Bulk). Values from VASP.

```
&SYSTEM
  ibrav = 0, nat = 9, ntyp = 3
/
ATOMIC_SPECIES
Nb 92.91 Nb.upf
Fe 55.84 Fe.upf
V 50.94 V.upf
ATOMIC_POSITIONS angstrom
Nb 1.596 1.981 3.430
Fe 0.000 0.000 3.936
V 0.000 5.133 0.000
Fe 0.000 3.409 1.968
Nb 1.596 -1.428 2.474
V 0.000 -2.566 4.445
Fe 1.596 0.000 0.000
Nb 1.596 2.857 0.000
V 0.000 0.843 1.459
CELL_PARAMETERS angstrom
3.192 0.000 0.000
0.000 6.818 0.000
0.000 -3.409 5.904
```

- relative energy among the computed polymorphs (eV per formula unit) = 0.510
- E_form (eV/atom) = 0.01
- crystal system = hexagonal



# Nb3V4Fe2

A geometry-optimized Nb3V4Fe2 structure (GGA-PBE, Alexandria via LeMat-Bulk). Values from VASP.

```
&SYSTEM
  ibrav = 0, nat = 9, ntyp = 3
/
ATOMIC_SPECIES
Nb 92.91 Nb.upf
V 50.94 V.upf
Fe 55.84 Fe.upf
ATOMIC_POSITIONS angstrom
Nb 0.000 0.000 0.000
V 0.000 1.230 6.755
Nb 2.161 -0.072 5.554
V 2.161 1.327 0.843
Nb 0.000 2.630 2.044
V 2.161 2.621 4.961
Fe 0.000 1.369 4.503
Fe 2.161 1.188 3.095
V 0.000 -0.064 2.637
CELL_PARAMETERS angstrom
4.322 0.000 0.000
-2.161 4.016 0.064
0.000 -1.459 7.534
```

- E_form (eV/atom) = 0.09
- crystal system = monoclinic



# NbVFe

A geometry-optimized NbVFe structure (GGA-PBE, Alexandria via LeMat-Bulk). Values from VASP.

```
&SYSTEM
  ibrav = 0, nat = 6, ntyp = 3
/
ATOMIC_SPECIES
Fe 55.84 Fe.upf
Nb 92.91 Nb.upf
V 50.94 V.upf
ATOMIC_POSITIONS angstrom
Fe 0.000 0.000 0.000
Nb 4.458 1.528 4.849
V 2.966 2.011 2.391
Nb 1.593 2.568 4.837
Fe 2.184 0.000 1.226
V 2.243 0.036 3.678
CELL_PARAMETERS angstrom
4.367 0.000 2.452
1.564 4.023 2.330
0.119 0.073 4.903
```

- relative energy among the computed polymorphs (eV per formula unit) = 0.000
- E_form (eV/atom) = -0.16
- crystal system = orthorhombic



# NbVFe

A geometry-optimized NbVFe structure (GGA-PBE, Alexandria via LeMat-Bulk). Values from VASP.

```
&SYSTEM
  ibrav = 0, nat = 6, ntyp = 3
/
ATOMIC_SPECIES
V 50.94 V.upf
Fe 55.84 Fe.upf
Nb 92.91 Nb.upf
ATOMIC_POSITIONS angstrom
V 2.487 -1.677 1.561
Fe -0.436 -2.288 0.991
V 1.415 -4.063 1.253
Nb 2.494 -3.769 3.675
Fe 4.338 -3.451 1.823
Nb 1.408 -1.971 -0.861
CELL_PARAMETERS angstrom
-2.852 -2.737 1.603
0.849 -2.108 -2.090
5.904 -0.895 3.301
```

- relative energy among the computed polymorphs (eV per formula unit) = 0.493
- E_form (eV/atom) = 0.01
- crystal system = orthorhombic



# NbVFe3

A geometry-optimized NbVFe3 structure (GGA-PBE, Alexandria via LeMat-Bulk). Values from VASP.

```
&SYSTEM
  ibrav = 0, nat = 5, ntyp = 3
/
ATOMIC_SPECIES
Fe 55.84 Fe.upf
Nb 92.91 Nb.upf
V 50.94 V.upf
ATOMIC_POSITIONS angstrom
Fe 2.085 0.000 0.000
Nb 2.085 2.085 2.085
Fe 0.000 2.085 0.000
Fe 0.000 0.000 2.085
V 0.000 0.000 0.000
CELL_PARAMETERS angstrom
4.169 0.000 0.000
0.000 4.169 0.000
0.000 0.000 4.169
```

- relative energy among the computed polymorphs (eV per formula unit) = 0.000
- E_form (eV/atom) = 0.90
- crystal system = cubic



# Nb12V3Fe5

A geometry-optimized Nb12V3Fe5 structure (GGA-PBE, Alexandria via LeMat-Bulk). Values from VASP.

```
&SYSTEM
  ibrav = 0, nat = 80, ntyp = 3
/
ATOMIC_SPECIES
Fe 55.84 Fe.upf
Nb 92.91 Nb.upf
V 50.94 V.upf
ATOMIC_POSITIONS angstrom
Fe 3.128 2.212 1.277
Nb -4.193 8.703 3.874
Fe 1.043 -2.949 7.663
Fe 5.214 5.161 3.831
V 3.128 6.636 6.386
Nb 4.996 -0.932 6.134
Fe 3.128 8.848 2.554
Nb 8.364 -2.804 6.343
Nb 6.645 -0.737 2.260
Nb -3.346 9.901 1.234
Nb -1.627 -0.163 8.448
Nb 3.782 -1.361 3.340
V -1.043 5.161 6.386
Nb 0.022 3.946 4.365
Fe 6.257 0.000 0.000
Nb 5.868 6.522 5.600
Nb -1.261 -3.070 7.368
Nb -1.697 -0.624 4.617
Nb -2.108 -4.757 9.726
Fe 0.000 0.000 0.000
Nb -0.459 7.349 1.025
V -3.128 2.212 8.940
V 7.299 8.111 1.277
Nb -1.261 4.002 8.983
V 3.128 0.000 7.663
Fe 4.171 5.899 0.000
Nb 8.320 1.142 0.491
Nb -2.474 6.636 7.957
Nb 0.389 7.260 6.877
Nb 1.627 1.450 9.191
Nb 7.517 -4.002 8.983
Fe -4.171 2.949 5.108
Fe -2.086 5.899 0.000
Nb 1.697 4.538 6.877
Fe -1.043 0.737 6.386
Fe -1.043 2.949 2.554
Nb -2.108 2.804 6.343
Fe 4.171 -2.949 5.108
Nb 4.149 1.953 5.851
Nb -4.996 3.070 7.368
Fe 5.214 2.949 7.663
Nb 4.560 5.161 7.957
Nb 2.544 7.512 0.743
Nb 7.953 0.624 4.617
Fe -3.128 6.636 3.831
Nb -0.389 0.737 2.260
Fe 2.086 2.949 5.108
V -5.214 5.899 7.663
Nb 6.279 3.095 3.874
Fe -2.086 -2.949 5.108
Nb 4.630 1.613 9.474
Nb -0.825 6.831 4.083
Nb 9.167 2.829 2.849
Nb 1.261 0.932 6.134
V 9.385 0.000 2.554
Nb 2.544 4.449 1.025
Nb -3.782 5.275 5.600
V 5.214 0.737 3.831
Fe 7.299 -0.737 6.386
Nb -4.630 0.163 8.448
Nb 2.063 7.852 4.365
Nb 8.801 5.736 1.768
V 7.299 3.687 1.277
Fe 5.214 -3.687 8.940
V -3.128 -2.212 8.940
Fe 1.043 3.687 8.940
Nb 2.474 1.361 3.340
Nb -0.459 4.286 0.743
Nb 6.279 10.656 0.491
Nb 2.108 -1.953 5.851
V 1.043 -0.737 3.831
Nb 5.432 8.969 2.849
Nb 1.627 -1.613 9.474
V 1.043 5.899 2.554
Nb -4.149 4.757 9.726
Nb 2.910 4.967 4.083
Fe -1.043 9.585 1.277
Nb 5.432 1.897 1.234
Nb 4.630 -1.450 9.191
Nb 5.798 6.062 1.768
CELL_PARAMETERS angstrom
12.513 0.000 0.000
-4.171 11.797 0.000
-4.171 -5.899 10.217
```

- E_form (eV/atom) = 0.93
- crystal system = cubic



# NbVFe

A geometry-optimized NbVFe structure (GGA-PBE, Alexandria via LeMat-Bulk). Values from VASP.

```
&SYSTEM
  ibrav = 0, nat = 3, ntyp = 3
/
ATOMIC_SPECIES
V 50.94 V.upf
Fe 55.84 Fe.upf
Nb 92.91 Nb.upf
ATOMIC_POSITIONS angstrom
V 0.829 1.490 0.762
Fe 2.774 1.879 2.485
Nb 3.875 3.857 3.496
CELL_PARAMETERS angstrom
-0.104 -1.136 2.336
2.327 -1.080 -0.421
1.980 6.662 1.883
```

- relative energy among the computed polymorphs (eV per formula unit) = 2.577
- E_form (eV/atom) = 0.70
- crystal system = tetragonal



# Nb3VFe

A geometry-optimized Nb3VFe structure (GGA-PBE, Alexandria via LeMat-Bulk). Values from VASP.

```
&SYSTEM
  ibrav = 0, nat = 5, ntyp = 3
/
ATOMIC_SPECIES
Nb 92.91 Nb.upf
Fe 55.84 Fe.upf
V 50.94 V.upf
ATOMIC_POSITIONS angstrom
Nb -0.454 1.343 1.804
Nb 1.973 -0.644 0.977
Fe 0.000 0.000 0.000
V 0.441 -1.047 3.808
Nb -1.078 -1.745 1.027
CELL_PARAMETERS angstrom
-2.157 -3.490 2.055
3.947 -1.289 1.953
-0.909 2.686 3.608
```

- relative energy among the computed polymorphs (eV per formula unit) = 0.000
- E_form (eV/atom) = 0.85
- crystal system = cubic